A geometry-optimized Li2Sm5Ge4 structure. Source: Alexandria via LeMat-Bulk, functional PBE.

```
Li2Sm5Ge4
1.0
-1.7675 0.1664 -3.8395
5.5815 -3.4798 -2.7202
-6.2551 -6.5710 4.9250
Li Sm Ge
2 5 4
direct
0.5654 0.5647 0.1308
0.4346 0.4353 0.8692
0.1622 0.9200 0.3244
0.8378 0.0800 0.6756
0.1622 0.4032 0.3244
0.5000 0.0000 0.0000
0.8378 0.5968 0.6756
0.7068 0.7064 0.4136
0.0000 0.6880 0.9999
0.2932 0.2936 0.5864
0.0000 0.3120 0.0001
```

Summary:
symmetry	C2/m (12)
formation enthalpy at 0 K	-0.513	eV per atom
DFT total energy	-4.69	eV/atom

***

A geometry-optimized HoGaRuRh structure. Source: Alexandria via LeMat-Bulk, functional PBE.

```
HoGaRuRh
1.0
-4.1713 -1.7652 0.3434
-1.0326 -2.7268 3.4831
-2.8164 1.4447 3.2580
Ru Rh Ho Ga
1 1 1 1
direct
0.7500 0.7500 0.7500
0.2500 0.2500 0.2500
0.5000 0.5000 0.5000
0.0000 0.0000 0.0000
```

Summary:
symmetry	F-43m (216)
formation enthalpy at 0 K	-0.566	eV per atom
DFT total energy	-6.62	eV/atom

***

A geometry-optimized Th2MgOs structure. Source: Alexandria via LeMat-Bulk, functional PBE.

```
Th2MgOs
1.0
-3.5953 -1.8301 0.8895
-0.9525 -3.6305 -1.7261
2.8275 -6.6156 7.4106
Mg Os Th
1 1 2
direct
0.0000 0.0000 0.0000
0.5000 0.5000 0.5000
0.1174 0.1174 0.6477
0.8826 0.8826 0.3523
```

Summary:
symmetry	R-3m (166)
formation enthalpy at 0 K	0.133	eV per atom
DFT total energy	-6.78	eV/atom

***

A geometry-optimized Pm3Dy2ThSe6 structure. Source: Alexandria via LeMat-Bulk, functional PBE.

```
Pm3Dy2ThSe6
1.0
4.1395 0.0000 0.0000
0.0000 8.3583 0.3626
-2.0697 -2.3390 8.7280
Pm Dy Th Se
3 2 1 6
direct
0.5000 0.5000 0.0000
0.8384 0.1659 0.6768
0.1616 0.8341 0.3232
0.8348 0.6695 0.6695
0.1652 0.3305 0.3305
0.5000 0.0000 0.0000
0.3300 0.9066 0.6600
0.6702 0.5776 0.3404
0.6700 0.0934 0.3400
0.0044 0.2556 0.0088
0.9956 0.7444 0.9912
0.3298 0.4224 0.6596
```

Summary:
symmetry	C2/m (12)
formation energy (no corrections)	-1.751	eV/atom
DFT total energy	-6.07	eV/atom

***

A geometry-optimized CaHo2Tl structure. Source: Alexandria via LeMat-Bulk, functional PBE.

```
CaHo2Tl
1.0
5.4953 0.0000 0.0000
2.7477 4.7591 0.0000
2.7477 1.5864 4.4869
Tl Ca Ho
1 1 2
direct
0.0000 0.0000 0.0000
0.5000 0.5000 0.5000
0.2500 0.2500 0.2500
0.7500 0.7500 0.7500
```

Summary:
symmetry	Fm-3m (225)
distance to the lowest polymorph of the same formula	110	meV per atom
formation enthalpy at 0 K	-0.021	eV per atom
DFT total energy	-3.40	eV/atom

***

A geometry-optimized CrCoTc2 structure. Source: Alexandria via LeMat-Bulk, functional PBE.

```
CrCoTc2
1.0
8.6633 0.0093 0.0055
8.2529 2.6348 0.0055
8.2529 1.2900 2.2975
Co Cr Tc
1 1 2
direct
0.4961 0.4961 0.4961
0.7548 0.7548 0.7548
0.0013 0.0013 0.0013
0.2477 0.2477 0.2477
```

Summary:
symmetry	R3m (160)
distance to the lowest polymorph of the same formula	125	meV per atom
formation enthalpy at 0 K	0.188	eV per atom
DFT total energy	-9.18	eV/atom

***

A geometry-optimized Lu2H4Ir structure. Source: Alexandria via LeMat-Bulk, functional PBE.

```
Lu2H4Ir
1.0
3.6036 0.0000 0.0000
0.0000 3.6036 0.0000
1.8018 1.8018 6.0779
H Ir Lu
4 1 2
direct
0.1459 0.1459 0.7083
0.8541 0.8541 0.2917
0.0000 0.5000 0.0000
0.5000 0.0000 0.0000
0.0000 0.0000 0.0000
0.3491 0.3491 0.3018
0.6509 0.6509 0.6982
```

Summary:
symmetry	I4/mmm (139)
DFT total energy	-4.87	eV/atom

***

A geometry-optimized NdDy5Tm3 structure. Source: Alexandria via LeMat-Bulk, functional PBE.

```
NdDy5Tm3
1.0
-1.9634 -9.0735 -0.6092
5.7475 -7.3135 0.1849
1.1624 -9.1255 8.9379
Nd Dy Tm
2 10 6
direct
0.8967 0.8967 0.8673
0.1033 0.1033 0.1327
0.9227 0.5079 0.2207
0.3213 0.6787 0.0000
0.6297 0.6297 0.0713
0.4429 0.4429 0.4331
0.5571 0.5571 0.5669
0.3703 0.3703 0.9287
0.5079 0.9227 0.2207
0.6787 0.3213 0.0000
0.0773 0.4921 0.7793
0.4921 0.0773 0.7793
0.6974 0.6974 0.6811
0.8304 0.8304 0.3376
0.0000 0.0000 0.0000
0.0000 0.0000 0.5000
0.3026 0.3026 0.3189
0.1696 0.1696 0.6624
```

Summary:
symmetry	C2/m (12)
distance to the lowest polymorph of the same formula	239	meV per atom
formation enthalpy at 0 K	0.430	eV per atom
DFT total energy	-4.15	eV/atom

***

A geometry-optimized Sr2Ag2F7 structure. Source: Alexandria via LeMat-Bulk, functional PBE.

```
Sr2Ag2F7
1.0
-2.5513 -1.0066 5.1701
-4.9594 -0.7473 -2.5927
1.1075 -5.7277 -0.4681
Sr Ag F
2 2 7
direct
0.7311 0.5000 0.7311
0.2689 0.5000 0.2689
0.7369 0.0000 0.2631
0.2631 0.0000 0.7369
0.0000 0.2556 0.5000
0.5000 0.7444 0.0000
0.0000 0.7444 0.5000
0.5000 0.2556 0.0000
0.0000 0.0000 0.0000
0.5000 0.7501 0.5000
0.5000 0.2499 0.5000
```

Summary:
symmetry	Cmmm (65)
formation energy (no corrections)	-2.512	eV/atom
distance to the lowest polymorph of the same formula	46	meV per atom
DFT total energy	-4.53	eV/atom

***

A geometry-optimized AlCr2Te4 structure. Source: Alexandria via LeMat-Bulk, functional PBE.

```
AlCr2Te4
1.0
-4.7371 -1.2964 6.5193
6.6366 -0.4105 4.7339
0.6504 4.8309 6.5404
Cr Te Al
4 8 2
direct
0.5000 0.5000 0.5000
0.5000 0.0000 0.5000
0.0000 0.0000 0.0000
0.5000 0.0000 0.0000
0.2596 0.7796 0.9806
0.7404 0.2204 0.0194
0.2796 0.7596 0.4806
0.2602 0.2400 0.5197
0.2600 0.2398 0.9803
0.7398 0.7600 0.4803
0.7204 0.2404 0.5194
0.7400 0.7602 0.0197
0.8748 0.6252 0.7500
0.1252 0.3748 0.2500
```

Summary:
symmetry	C2/c (15)
formation energy (no corrections)	-0.238	eV/atom
DFT total energy	-5.32	eV/atom

***

A geometry-optimized TmLuBeRu structure. Source: Alexandria via LeMat-Bulk, functional PBE.

```
TmLuBeRu
1.0
4.7384 0.0000 0.0000
2.3692 4.1035 0.0000
2.3692 1.3678 3.8689
Ru Lu Tm Be
1 1 1 1
direct
0.7500 0.7500 0.7500
0.5000 0.5000 0.5000
0.0000 0.0000 0.0000
0.2500 0.2500 0.2500
```

Summary:
symmetry	F-43m (216)
formation enthalpy at 0 K	-0.230	eV per atom
DFT total energy	-5.73	eV/atom

***

A geometry-optimized Ta2TcRu structure. Source: Alexandria via LeMat-Bulk, functional PBE.

```
Ta2TcRu
1.0
2.8391 0.0093 0.0000
-1.0304 2.6455 0.0000
0.0000 0.0000 8.6086
Ru Ta Tc
1 2 1
direct
0.5000 0.5000 0.7500
0.0000 0.0000 0.9989
0.0000 0.0000 0.5011
0.5000 0.5000 0.2500
```

Summary:
symmetry	Cmmm (65)
formation enthalpy at 0 K	-0.172	eV per atom
DFT total energy	-11.01	eV/atom

***

A geometry-optimized Zr2TaSe2 structure. Source: Alexandria via LeMat-Bulk, functional PBE.

```
Zr2TaSe2
1.0
7.2372 0.0000 0.0000
0.0000 7.2372 0.0000
0.0000 0.0000 3.6128
Se Zr Ta
4 4 2
direct
0.3507 0.8507 0.0000
0.8507 0.6493 0.0000
0.6493 0.1493 0.0000
0.1493 0.3507 0.0000
0.1581 0.6581 0.5000
0.6581 0.8419 0.5000
0.8419 0.3419 0.5000
0.3419 0.1581 0.5000
0.0000 0.0000 0.0000
0.5000 0.5000 0.0000
```

Summary:
symmetry	P4/mbm (127)
formation energy (no corrections)	-0.653	eV/atom
distance to the lowest polymorph of the same formula	0	meV per atom
DFT total energy	-7.84	eV/atom